{
  "formula": "Ti5BSb2",
  "functional": "GGA-PBE",
  "state": "relaxed",
  "formation_energy_uncorrected_ev_per_atom": 0.037,
  "m_tot_mub_per_cell": 2.81,
  "lattice_angstrom": [[2.224, -6.977, 0.000], [2.224, 6.977, 0.000], [0.000, 0.000, 11.307]],
  "species": ["Ti", "Ti", "Ti", "Ti", "Ti", "Ti", "Ti", "Ti", "Ti", "Ti", "B", "B", "Sb", "Sb", "Sb", "Sb"],
  "frac_coords": [[0.091, 0.909, 0.635], [0.091, 0.909, 0.865], [0.278, 0.722, 0.250], [0.282, 0.718, 0.564], [0.282, 0.718, 0.936], [0.718, 0.282, 0.064], [0.718, 0.282, 0.436], [0.722, 0.278, 0.750], [0.909, 0.091, 0.135], [0.909, 0.091, 0.365], [0.214, 0.786, 0.750], [0.786, 0.214, 0.250], [0.111, 0.889, 0.107], [0.111, 0.889, 0.393], [0.889, 0.111, 0.607], [0.889, 0.111, 0.893]]
}